A relaxed CuTc5 crystal. Source: the Alexandria database, functional PBE.

abc: 4.9824 4.9824 4.5419
angles: 90.00 90.00 120.00
Element x y z (fractional)
Cu  0.0000  0.0000  0.0000
Tc  0.5000  0.0000  0.5000
Tc  0.5000  0.5000  0.5000
Tc  0.0000  0.5000  0.5000
Tc  0.6667  0.3333  0.0000
Tc  0.3333  0.6667  0.0000

The calculation puts the excess energy over the best structure of this formula in the dataset at 0.5623 eV per atom. The value obtained for the total magnetization is 0.00 μB per atom.

---

A relaxed Ta5Si crystal. Source: the Alexandria database, functional PBE.

abc: 5.0064 5.0064 4.9006
angles: 90.00 90.00 120.00
Element x y z (fractional)
Ta  0.6667  0.3333  0.5000
Ta  0.3303  0.3303  0.0000
Ta  0.3333  0.6667  0.5000
Ta  0.6697  0.0000  0.0000
Ta  0.0000  0.6697  0.0000
Si  0.0000  0.0000  0.5000

Its uncorrected formation energy is 84 meV per atom. The calculation puts the excess energy over the best structure of this formula in the dataset at 0.2246 eV per atom. The value obtained for the total magnetization is 0.00 μB per atom.

---

A relaxed InNi2Ge crystal. Source: the Alexandria database, functional PBE.

abc: 3.0115 3.0115 6.3439
angles: 90.00 90.00 90.00
Element x y z (fractional)
Ni  0.0000  0.0000  0.2094
Ni  0.0000  0.0000  0.7906
Ge  0.5000  0.5000  0.0000
In  0.5000  0.5000  0.5000

The value obtained for the total magnetization is 0.00 μB per atom. Its total energy is -4.84 eV per atom.

---

A relaxed Sc2TaCuCl crystal. Source: the Alexandria database, functional PBE.

abc: 5.2587 4.6657 5.2587
angles: 90.00 90.00 90.00
Element x y z (fractional)
Sc  0.0000  0.0000  0.5000
Sc  0.5000  0.0000  0.0000
Cu  0.5000  0.5000  0.5000
Cl  0.0000  0.5000  0.0000
Ta  0.0000  0.0000  0.0000

Its uncorrected formation energy is 722 meV per atom. The value obtained for the total magnetization is 0.00 μB per atom.

---

A relaxed TbBiAs crystal. Source: the Alexandria database, functional PBE.

abc: 4.2558 6.4941 6.3139
angles: 100.98 90.00 109.13
Element x y z (fractional)
Tb  0.5998  0.1996  0.7796
Tb  0.4002  0.8004  0.2204
Bi  0.3094  0.6189  0.6796
Bi  0.6906  0.3811  0.3204
As  0.0000  0.0000  0.5000
As  0.0000  0.0000  0.0000

The value obtained for the total magnetization is 0.00 μB per atom. Its total energy is -5.09 eV per atom.

---

A relaxed SnB2As crystal. Source: the Alexandria database, functional PBE.

abc: 5.1015 5.1015 6.1435
angles: 65.47 65.47 90.00
Element x y z (fractional)
B  0.5894  0.1250  0.2500
B  0.8750  0.8394  0.7500
B  0.1606  0.6250  0.2500
B  0.3750  0.4106  0.7500
Sn  0.0000  0.0000  0.0000
Sn  0.7500  0.2500  0.5000
As  0.2500  0.7500  0.5000
As  0.5000  0.5000  0.0000

The calculation puts the excess energy over the best structure of this formula in the dataset at 0.0000 eV per atom. The value obtained for the total magnetization is 0.00 μB per atom.

---

> Number 6 is which compound?

SnB2As

---

> What is the formula in the sixth record?

SnB2As

---

> Look up the total magnetization of the sixth one.

0.00 μB per atom

---

> Look up the total magnetization of the sixth one.

0.00 μB per atom